Al6ZnMo2 PBE-GGA relaxed; DOS(E_F) = 8.5 states/eV per cell; formation enthalpy at 0 K = -0.0296 eV per atom; energy relative to the lowest polymorph listed for this composition = 127 meV per atom; crystal system = monoclinic
1.0
4.930 0.000 0.000
0.000 7.455 0.000
-4.511 0.000 7.912
Al Zn Mo
12 2 4
Direct
0.059 0.157 0.462 Al
0.059 0.343 0.962 Al
0.342 0.730 0.397 Al
0.342 0.770 0.897 Al
0.403 0.065 0.300 Al
0.403 0.435 0.800 Al
0.597 0.565 0.200 Al
0.597 0.935 0.700 Al
0.658 0.230 0.103 Al
0.658 0.270 0.603 Al
0.941 0.657 0.038 Al
0.941 0.843 0.538 Al
0.000 0.000 0.000 Zn
0.000 0.500 0.500 Zn
0.206 0.098 0.790 Mo
0.206 0.402 0.290 Mo
0.794 0.598 0.710 Mo
0.794 0.902 0.210 Mo